This record from the Alexandria database describes a crystal of MnCrFe2 relaxed with PBEsol. The functional is SCAN.

Values from the calculation:
E in eV/atom: -18.153

Cell: 2.3950 4.6464 4.6111 Å, 116.75 98.95 101.94°
With the nearest neighbours (Å) after each atom.
Fractional coordinates of all 4 atoms:
Cr 0.0000 0.5000 0.0000  2 Mn 2.38, 2 Cr 2.40, 4 Fe 2.43
Mn 0.5000 0.0000 0.0000  2 Cr 2.38, 2 Mn 2.40, 4 Fe 2.43
Fe 0.5000 0.5000 0.5000  4 Fe 2.38-2.40, 2 Cr 2.43, 2 Mn 2.43
Fe 0.0000 0.0000 0.5000  4 Fe 2.38-2.40, 2 Mn 2.43, 2 Cr 2.43

---

This record from the Alexandria database describes a crystal of Mo2Br relaxed with PBEsol. The functional is SCAN.

Values from the calculation:
Formation energy (no corrections) in eV/f.u.: 2.94
Polymorph energy (0 for the lowest one) in meV per atom: 0

Cell: 3.0098 4.1638 4.6161 Å, 116.81 109.03 90.00°
With the nearest neighbours (Å) after each atom.
Fractional coordinates of all 3 atoms:
Mo 0.3314 0.3314 0.6627  1 Br 2.54, 1 Mo 2.59
Mo 0.6686 0.6686 0.3372  1 Br 2.54, 1 Mo 2.59
Br 0.0000 0.0000 0.0000  2 Mo 2.54

---

This record from the Alexandria database describes a crystal of Sr3SnW relaxed with PBEsol. The functional is SCAN.

Values from the calculation:
E in eV/atom: -33.448

Cell: 6.1649 6.1649 6.1649 Å, 90.00 90.00 90.00°
With the nearest neighbours (Å) after each atom.
Fractional coordinates of all 5 atoms:
W 0.5000 0.5000 0.5000  12 Sr 4.36
Sr 0.5000 0.0000 0.0000  2 Sn 3.08
Sr 0.0000 0.5000 0.0000  2 Sn 3.08
Sr 0.0000 0.0000 0.5000  2 Sn 3.08
Sn 0.0000 0.0000 0.0000  6 Sr 3.08

---

This record from the Alexandria database describes a crystal of TlCuIr2 relaxed with PBEsol. The functional is SCAN.

Values from the calculation:
Polymorph energy (0 for the lowest one) in meV per atom: 0

Cell: 2.8897 2.8897 8.6645 Å, 80.40 80.40 60.00°
With the nearest neighbours (Å) after each atom.
Fractional coordinates of all 4 atoms:
Ir 0.7436 0.7436 0.7692  3 Cu 2.58, 3 Tl 2.83
Ir 0.2564 0.2564 0.2308  3 Cu 2.58, 3 Tl 2.83
Cu 0.0000 0.0000 0.0000  6 Ir 2.58
Tl 0.5000 0.5000 0.5000  6 Ir 2.83, 6 Tl 2.89

---

This record from the Alexandria database describes a crystal of Rb2CoB12H20O30 relaxed with PBEsol. The functional is SCAN.

Values from the calculation:
E in eV/atom: -8.089

Cell: 7.5273 7.7914 10.7897 Å, 108.51 94.20 91.38°
With the nearest neighbours (Å) after each atom.
Fractional coordinates of all 65 atoms:
B 0.0383 0.2437 0.9600  3 O 1.36-1.38
H 0.2163 0.8091 0.8981  1 O 1.02
H 0.5255 0.3592 0.0435  1 O 1.00
Rb 0.2363 0.3646 0.3968  8 O 2.79-3.09, 2 H 2.90-3.07
B 0.1692 0.9865 0.7958  4 O 1.44-1.51
B 0.9617 0.7563 0.0400  3 O 1.36-1.38
O 0.3706 0.2754 0.6156  2 B 1.36-1.45
O 0.0818 0.8724 0.6736  2 B 1.37-1.44
O 0.2803 0.1365 0.7734  3 B 1.50-1.52
O 0.7752 0.3780 0.7696  2 H 0.99-1.00
B 0.8308 0.0135 0.2042  4 O 1.44-1.51
O 0.9351 0.2843 0.5502  1 H 1.00
H 0.1113 0.6965 0.3620  1 O 1.00
O 0.2838 0.9628 0.5417  2 B 1.38-1.46
O 0.4717 0.2519 0.9699  1 H 1.00
O 0.6780 0.9351 0.8555  2 H 1.00-1.02
H 0.1216 0.5641 0.9432  1 O 1.00
H 0.3693 0.7068 0.7437  1 O 1.01
O 0.3963 0.5914 0.6739  1 H 1.01
H 0.7837 0.1909 0.1019  1 O 1.02
O 0.0990 0.6961 0.9618  1 H 1.00
O 0.2910 0.8818 0.8556  1 H 1.02
O 0.1747 0.3654 0.9608  2 B 1.38-1.49
O 0.9182 0.1276 0.3264  2 B 1.37-1.44
O 0.0649 0.7157 0.4498  1 H 1.00
H 0.6307 0.2932 0.2563  1 O 1.01
O 0.5283 0.7481 0.0301  1 H 1.00
O 0.0342 0.0662 0.8858  2 B 1.36-1.47
H 0.3692 0.0117 0.2151  1 O 1.02
O 0.7090 0.1182 0.1444  1 H 1.02
H 0.8784 0.4359 0.0568  1 O 1.00
H 0.1950 0.0197 0.1222  1 O 1.00
H 0.8050 0.9803 0.8778  1 O 1.00
O 0.4386 0.9294 0.3224  1 H 1.01
H 0.7816 0.4590 0.8612  1 O 0.99
O 0.5614 0.0706 0.6776  1 H 1.01
H 0.8887 0.3035 0.6380  1 O 1.00
B 0.3750 0.1097 0.6493  4 O 1.45-1.52
O 0.9658 0.9338 0.1142  2 B 1.36-1.47
H 0.3732 0.9479 0.4037  1 O 1.01
B 0.3866 0.4394 0.7117  3 O 1.36-1.39
O 0.6037 0.4086 0.3261  1 H 1.01
O 0.6294 0.7246 0.3844  2 B 1.36-1.45
H 0.6308 0.9883 0.7849  1 O 1.02
O 0.9010 0.3039 0.0382  1 H 1.00
B 0.3347 0.3022 0.8883  4 O 1.45-1.50
Co 0.5000 0.0000 0.0000  6 O 2.08-2.10
H 0.4745 0.6408 0.9565  1 O 1.00
O 0.7162 0.0372 0.4583  2 B 1.38-1.46
O 0.6088 0.5487 0.1571  2 B 1.39-1.46
B 0.6250 0.8903 0.3507  4 O 1.45-1.52
B 0.1459 0.8517 0.5545  3 O 1.37-1.38
B 0.6653 0.6978 0.1117  4 O 1.45-1.50
B 0.6134 0.5606 0.2883  3 O 1.36-1.39
H 0.3133 0.7245 0.2405  1 O 1.00
O 0.7197 0.8635 0.2266  3 B 1.50-1.52
B 0.8541 0.1483 0.4455  3 O 1.37-1.38
O 0.3220 0.0649 0.1445  2 H 1.00-1.02
H 0.2184 0.5410 0.1388  1 O 0.99
H 0.6268 0.0521 0.5963  1 O 1.01
O 0.8253 0.6346 0.0392  2 B 1.38-1.49
O 0.3912 0.4513 0.8429  2 B 1.39-1.46
H 0.6867 0.2755 0.7595  1 O 1.00
O 0.2248 0.6220 0.2304  2 H 0.99-1.00
Rb 0.7637 0.6354 0.6032  8 O 2.79-3.09, 2 H 2.90-3.07

---

This record from the Alexandria database describes a crystal of Dy3S3N relaxed with PBEsol. The functional is SCAN.

Values from the calculation:
Formation energy (no corrections) in eV/f.u.: -15.96

Cell: 3.7866 11.7791 12.6348 Å, 90.00 90.00 90.00°
With the nearest neighbours (Å) after each atom.
Fractional coordinates of all 28 atoms:
Dy 0.2500 0.5686 0.8691  1 N 2.15
Dy 0.7500 0.2861 0.3606  1 N 2.23
S 0.7500 0.1343 0.9925  5 Dy 2.69-2.88
S 0.7500 0.2252 0.6920  5 Dy 2.75-2.85
Dy 0.7500 0.4533 0.6435  2 N 2.25
Dy 0.2500 0.7139 0.6394  1 N 2.23
N 0.7500 0.9635 0.2013  4 Dy 2.15-2.25
S 0.2500 0.3657 0.4925  5 Dy 2.69-2.88
S 0.7500 0.7252 0.8080  5 Dy 2.75-2.85
S 0.2500 0.8657 0.0075  5 Dy 2.69-2.88
S 0.2500 0.0930 0.3986  5 Dy 2.71-3.00
Dy 0.2500 0.5467 0.3565  2 N 2.25
Dy 0.2500 0.0467 0.1435  2 N 2.25
S 0.2500 0.2748 0.1920  5 Dy 2.75-2.85
S 0.7500 0.6343 0.5075  5 Dy 2.69-2.88
Dy 0.7500 0.9533 0.8565  2 N 2.25
N 0.7500 0.4635 0.2987  4 Dy 2.15-2.25
S 0.2500 0.7748 0.3080  5 Dy 2.75-2.85
Dy 0.7500 0.4314 0.1309  1 N 2.15
Dy 0.7500 0.9314 0.3691  1 N 2.15
Dy 0.2500 0.0686 0.6309  1 N 2.15
N 0.2500 0.5365 0.7013  4 Dy 2.15-2.25
S 0.2500 0.5930 0.1014  5 Dy 2.71-3.00
Dy 0.7500 0.7861 0.1394  1 N 2.23
S 0.7500 0.4070 0.8986  5 Dy 2.71-3.00
S 0.7500 0.9070 0.6014  5 Dy 2.71-3.00
N 0.2500 0.0365 0.7987  4 Dy 2.15-2.25
Dy 0.2500 0.2139 0.8606  1 N 2.23

---

This record from the Alexandria database describes a crystal of LiCoP3O9 relaxed with PBEsol. The functional is SCAN.

Values from the calculation:
Formation energy (no corrections) in eV/f.u.: -32.32
Polymorph energy (0 for the lowest one) in meV per atom: 0

Cell: 8.3440 8.4994 8.5992 Å, 90.00 90.00 90.00°
With the nearest neighbours (Å) after each atom.
Fractional coordinates of all 56 atoms:
O 0.3934 0.1272 0.4197  1 P 1.50
O 0.0410 0.7721 0.6513  2 P 1.60-1.61
O 0.5410 0.7279 0.3487  2 P 1.60-1.61
P 0.1843 0.4793 0.1897  4 O 1.50-1.61
O 0.8824 0.8827 0.1784  1 P 1.51
O 0.6388 0.0348 0.2643  2 P 1.60-1.61
P 0.9713 0.8196 0.8176  4 O 1.50-1.61
P 0.3157 0.5207 0.6897  4 O 1.50-1.61
O 0.8612 0.9652 0.7643  2 P 1.60-1.61
O 0.9115 0.1172 0.3665  1 P 1.50
P 0.0287 0.3196 0.6824  4 O 1.50-1.61
O 0.1332 0.1896 0.6212  1 P 1.50
O 0.6592 0.6363 0.6022  1 P 1.49
O 0.1176 0.3827 0.3216  1 P 1.51
O 0.7221 0.1353 0.9551  2 P 1.61
Li 0.6512 0.3649 0.6163  5 O 2.01-2.19
O 0.3612 0.5348 0.2357  2 P 1.60-1.61
Li 0.3488 0.8649 0.8837  5 O 2.01-2.19
O 0.3824 0.6173 0.8216  1 P 1.51
O 0.3668 0.8104 0.1212  1 P 1.50
O 0.3130 0.9099 0.6549  1 P 1.50
P 0.7962 0.3098 0.9429  4 O 1.49-1.61
P 0.7038 0.6902 0.4429  4 O 1.49-1.61
O 0.1388 0.4652 0.7357  2 P 1.60-1.61
P 0.4713 0.6804 0.1824  4 O 1.50-1.61
O 0.7779 0.8647 0.4551  2 P 1.61
O 0.6066 0.6272 0.0803  1 P 1.50
O 0.5885 0.8828 0.8665  1 P 1.50
P 0.2962 0.1902 0.0571  4 O 1.49-1.61
P 0.8157 0.9793 0.3103  4 O 1.50-1.61
Co 0.1299 0.8560 0.1574  6 O 2.04-2.09
Co 0.8701 0.3560 0.3426  6 O 2.04-2.09
O 0.2779 0.6353 0.5449  2 P 1.61
O 0.8408 0.3637 0.1022  1 P 1.49
O 0.4590 0.2279 0.1513  2 P 1.60-1.61
O 0.2221 0.3647 0.0449  2 P 1.61
Co 0.3701 0.1440 0.6574  6 O 2.04-2.09
O 0.4115 0.3828 0.6335  1 P 1.50
Li 0.1512 0.1351 0.3837  5 O 2.01-2.19
P 0.6843 0.0207 0.8103  4 O 1.50-1.61
O 0.8934 0.3728 0.5803  1 P 1.50
O 0.6870 0.4099 0.8451  1 P 1.50
O 0.8668 0.6896 0.8788  1 P 1.50
O 0.1592 0.8637 0.3978  1 P 1.49
Co 0.6299 0.6440 0.8426  6 O 2.04-2.09
Li 0.8488 0.6351 0.1163  5 O 2.01-2.19
O 0.1870 0.0901 0.1549  1 P 1.50
O 0.8130 0.5901 0.3451  1 P 1.50
P 0.2038 0.8098 0.5571  4 O 1.49-1.61
O 0.1066 0.8728 0.9197  1 P 1.50
O 0.0885 0.6172 0.1335  1 P 1.50
O 0.6176 0.1173 0.6784  1 P 1.51
O 0.3408 0.1363 0.8978  1 P 1.49
O 0.9590 0.2721 0.8487  2 P 1.60-1.61
O 0.6332 0.3104 0.3788  1 P 1.50
P 0.5287 0.1804 0.3176  4 O 1.50-1.61

---

This record from the Alexandria database describes a crystal of Sr3TcH relaxed with PBEsol. The functional is SCAN.

Values from the calculation:
E in eV/atom: -20.218

Cell: 5.6100 5.6100 5.6100 Å, 90.00 90.00 90.00°
With the nearest neighbours (Å) after each atom.
Fractional coordinates of all 5 atoms:
Sr 0.0000 0.0000 0.5000  2 Tc 2.80
Tc 0.0000 0.0000 0.0000  6 Sr 2.80
Sr 0.0000 0.5000 0.0000  2 Tc 2.80
H 0.5000 0.5000 0.5000  12 Sr 3.97
Sr 0.5000 0.0000 0.0000  2 Tc 2.80

---

This record from the Alexandria database describes a crystal of Na2AlH4ClO4 relaxed with PBEsol. The functional is SCAN.

Values from the calculation:
E in eV/atom: -7.062

Cell: 4.9474 7.5401 7.5401 Å, 90.00 90.00 90.00°
With the nearest neighbours (Å) after each atom.
Fractional coordinates of all 24 atoms:
H 0.1018 0.7940 0.5000  1 O 0.99
H 0.8982 0.5000 0.7940  1 O 0.99
H 0.8982 0.5000 0.2060  1 O 0.99
Al 0.0000 0.0000 0.0000  4 O 1.77
O 0.7828 0.5000 0.3128  1 H 0.99
O 0.7828 0.5000 0.6872  1 H 0.99
Cl 0.2138 0.5000 0.0000  4 H 2.20
O 0.7828 0.8128 0.0000  1 H 0.99
Na 0.5000 0.2500 0.7500  4 O 2.39
O 0.2172 0.0000 0.1872  1 H 0.99
O 0.2172 0.3128 0.5000  1 H 0.99
H 0.1018 0.2060 0.5000  1 O 0.99
H 0.8982 0.7060 0.0000  1 O 0.99
Na 0.5000 0.2500 0.2500  4 O 2.39
O 0.2172 0.6872 0.5000  1 H 0.99
Na 0.5000 0.7500 0.7500  4 O 2.39
Al 0.0000 0.5000 0.5000  4 O 1.77
H 0.1018 0.0000 0.7060  1 O 0.99
O 0.2172 0.0000 0.8128  1 H 0.99
Cl 0.7862 0.0000 0.5000  4 H 2.20
H 0.1018 0.0000 0.2940  1 O 0.99
O 0.7828 0.1872 0.0000  1 H 0.99
H 0.8982 0.2940 0.0000  1 O 0.99
Na 0.5000 0.7500 0.2500  4 O 2.39

---

This record from the Alexandria database describes a crystal of TlTcW relaxed with PBEsol. The functional is SCAN.

Values from the calculation:
E in eV/atom: -58.202

Cell: 3.0409 4.4270 4.4270 Å, 120.00 90.00 90.00°
With the nearest neighbours (Å) after each atom.
Fractional coordinates of all 3 atoms:
Tl 0.6717 0.3333 0.6667  6 Tc 2.87-3.08, 6 W 2.90-3.06, 2 Tl 3.04
Tc 0.1044 0.0000 0.0000  3 W 2.58, 3 Tl 2.87
W 0.2238 0.6667 0.3333  3 Tc 2.58

---

Q: Which formula does entry 10 have?
A: TlTcW